[1]
YThCd2 (PBE-GGA, optimized geometry); symmetry = R-3m (166); calculated formation energy = -26 kJ/mol of formula units; N(E_F) = 4.24 states/eV/f.u.
1.0
3.5174 0.0000 0.0000
1.7587 3.0462 0.0000
1.7587 1.0154 10.5487
Cd Th Y
2 1 1
direct
0.2534 0.2534 0.2397
0.7466 0.7466 0.7603
0.5000 0.5000 0.5000
0.0000 0.0000 0.0000

[2]
La2SI (PBE-GGA, optimized geometry); symmetry = Fm-3m (225); formation energy from raw total energies = -1.286 eV/atom; N(E_F) = 3.03 states/eV/f.u.
1.0
0.0000 3.7819 3.7819
3.7819 0.0000 3.7819
3.7819 3.7819 0.0000
La S I
2 1 1
direct
0.7500 0.7500 0.7500
0.2500 0.2500 0.2500
0.0000 0.0000 0.0000
0.5000 0.5000 0.5000

Number 1: ΔE to the lowest computed polymorph 0.57 eV/f.u.. Number 2: ΔE to the lowest computed polymorph 1.28 eV/f.u..